1.
# LiMgBe2

LiMgBe2 after structural relaxation (PBE, Alexandria via LeMat-Bulk).

Cell: 8.8534 8.8534 8.8534 Å, 17.45 17.45 17.45°
With the nearest neighbours (Å) after each atom.
Sites, in units of the cell vectors:
Be (0.5023, 0.5023, 0.5023)  3 Li 2.63, 6 Be 2.69, 3 Mg 2.72
Be (0.9977, 0.9977, 0.9977)  3 Li 2.63, 6 Be 2.69, 3 Mg 2.72
Mg (0.7500, 0.7500, 0.7500)  6 Mg 2.69, 6 Be 2.72
Li (0.2500, 0.2500, 0.2500)  6 Be 2.63, 6 Li 2.69

Results
theoretical density = 1.50 g/cm3
E_tot = -9.001 eV/cell

---

2.
# LiMgBe2

LiMgBe2 after structural relaxation (PBE, Alexandria via LeMat-Bulk).

Cell: 3.1846 3.8999 4.1121 Å, 90.00 90.00 90.00°
With the nearest neighbours (Å) after each atom.
Sites, in units of the cell vectors:
Be (0.5000, 0.5000, 0.0000)  4 Be 2.52, 4 Mg 2.60
Be (0.0000, 0.0000, 0.0000)  4 Be 2.52, 4 Li 2.60
Mg (0.0000, 0.5000, 0.5000)  4 Li 2.52, 4 Be 2.60
Li (0.5000, 0.0000, 0.5000)  4 Mg 2.52, 4 Be 2.60

Results
theoretical density = 1.60 g/cm3
E_tot = -9.648 eV/cell

---

3.
# LiMgBe2

LiMgBe2 after structural relaxation (PBE, Alexandria via LeMat-Bulk).

Cell: 2.9196 2.9196 5.9965 Å, 90.00 90.00 90.00°
With the nearest neighbours (Å) after each atom.
Sites, in units of the cell vectors:
Be (0.0000, 0.0000, 0.4539)  4 Li 2.40, 1 Be 2.44
Be (0.0000, 0.0000, 0.0461)  4 Li 2.40, 1 Be 2.44
Mg (0.5000, 0.5000, 0.7500)  8 Be 2.72, 4 Mg 2.92, 2 Li 3.00
Li (0.5000, 0.5000, 0.2500)  8 Be 2.40

Results
theoretical density = 1.60 g/cm3
E_tot = -9.722 eV/cell

---

4.
# Li2MgBe2O4

Li2MgBe2O4 after structural relaxation (PBE, Alexandria via LeMat-Bulk).

Cell: 2.8922 7.3364 5.8284 Å, 136.80 104.37 90.00°
With the nearest neighbours (Å) after each atom.
Sites, in units of the cell vectors:
Li (0.1730, 0.5429, 0.3459)  3 O 2.01-2.15
Li (0.8270, 0.4571, 0.6541)  3 O 2.01-2.15
Be (0.6487, 0.9339, 0.2975)  4 O 1.59-1.75
Be (0.3513, 0.0661, 0.7025)  4 O 1.59-1.75
O (0.2440, 0.1366, 0.4879)  3 Be 1.64-1.75
O (0.7560, 0.8634, 0.5121)  3 Be 1.64-1.75
O (0.4406, 0.7407, 0.8812)  1 Be 1.59
O (0.5594, 0.2593, 0.1188)  1 Be 1.59
Mg (0.0000, 0.0000, 0.0000)  6 O 2.06-2.11

Results
theoretical density = 2.53 g/cm3
E_tot = -54.168 eV/cell
E_form (uncorrected) = -2.385 eV per atom

---

5.
# LiMgBe2Pb

LiMgBe2Pb after structural relaxation (PBE, Alexandria via LeMat-Bulk).

Cell: 4.6386 4.8481 4.6386 Å, 90.00 90.00 90.00°
With the nearest neighbours (Å) after each atom.
Sites, in units of the cell vectors:
Be (0.0000, 0.0000, 0.5000)  2 Mg 2.32
Be (0.5000, 0.0000, 0.0000)  2 Mg 2.32
Pb (0.5000, 0.5000, 0.5000)  4 Li 3.28, 8 Be 3.35
Li (0.0000, 0.5000, 0.0000)  2 Mg 2.42
Mg (0.0000, 0.0000, 0.0000)  4 Be 2.32, 2 Li 2.42

Results
theoretical density = 4.08 g/cm3
E_tot = -10.263 eV/cell

---

6.
# Li2MgBe2Pd5

Li2MgBe2Pd5 after structural relaxation (PBE, Alexandria via LeMat-Bulk).

Cell: 3.0877 9.6046 9.6046 Å, 90.00 90.00 90.00°
With the nearest neighbours (Å) after each atom.
Sites, in units of the cell vectors:
Mg (0.0000, 0.5000, 0.5000)  8 Pd 2.64
Mg (0.0000, 0.0000, 0.0000)  8 Pd 2.64
Pd (0.5000, 0.0723, 0.7886)  2 Be 2.26
Pd (0.5000, 0.9277, 0.2114)  2 Be 2.26
Pd (0.5000, 0.4277, 0.2886)  2 Be 2.26
Pd (0.5000, 0.2886, 0.5723)  2 Be 2.26
Pd (0.5000, 0.5723, 0.7114)  2 Be 2.26
Pd (0.5000, 0.2114, 0.0723)  2 Be 2.26
Pd (0.5000, 0.5000, 0.0000)  4 Be 2.30
Pd (0.5000, 0.7886, 0.9277)  2 Be 2.26
Pd (0.5000, 0.0000, 0.5000)  4 Be 2.30
Pd (0.5000, 0.7114, 0.4277)  2 Be 2.26
Li (0.0000, 0.6724, 0.1724)  3 Be 2.74-2.90, 10 Pd 2.81-3.03
Li (0.0000, 0.3276, 0.8276)  3 Be 2.74-2.90, 10 Pd 2.81-3.03
Li (0.0000, 0.8276, 0.6724)  3 Be 2.74-2.90, 10 Pd 2.81-3.03
Li (0.0000, 0.1724, 0.3276)  3 Be 2.74-2.90, 10 Pd 2.81-3.03
Be (0.0000, 0.1257, 0.6257)  6 Pd 2.26-2.30
Be (0.0000, 0.8743, 0.3743)  6 Pd 2.26-2.30
Be (0.0000, 0.6257, 0.8743)  6 Pd 2.26-2.30
Be (0.0000, 0.3743, 0.1257)  6 Pd 2.26-2.30

Results
theoretical density = 6.86 g/cm3
E_tot = -88.094 eV/cell

---

7.
# LiMgBePd

LiMgBePd after structural relaxation (PBE, Alexandria via LeMat-Bulk).

Cell: 4.2718 4.2718 4.2718 Å, 60.00 60.00 60.00°
With the nearest neighbours (Å) after each atom.
Sites, in units of the cell vectors:
Mg (0.2500, 0.2500, 0.2500)  4 Li 2.62, 4 Pd 2.62
Be (0.7500, 0.7500, 0.7500)  4 Li 2.62, 4 Pd 2.62
Li (0.5000, 0.5000, 0.5000)  4 Be 2.62, 4 Mg 2.62
Pd (0.0000, 0.0000, 0.0000)  4 Be 2.62, 4 Mg 2.62

Results
theoretical density = 4.42 g/cm3
E_tot = -13.582 eV/cell

---

8.
# LiPrMgBe

LiPrMgBe after structural relaxation (PBE, Alexandria via LeMat-Bulk).

Cell: 4.8693 4.8693 4.8693 Å, 60.00 60.00 60.00°
With the nearest neighbours (Å) after each atom.
Sites, in units of the cell vectors:
Pr (0.0000, 0.0000, 0.0000)  4 Be 2.98, 4 Li 2.98
Mg (0.5000, 0.5000, 0.5000)  4 Li 2.98, 4 Be 2.98
Li (0.7500, 0.7500, 0.7500)  4 Pr 2.98, 4 Mg 2.98
Be (0.2500, 0.2500, 0.2500)  4 Mg 2.98, 4 Pr 2.98

Results
theoretical density = 3.68 g/cm3
E_tot = -11.813 eV/cell